Material: PaFeAs2
Method: DFT, PBE
State: optimized geometry

a b c (Å): 7.8228 7.8228 7.8228
angles (deg): 32.01 32.01 32.01
Fractional coordinates of all 4 atoms:
1 Pa 0.0000 0.0000 0.0000
2 Fe 0.5000 0.5000 0.5000
3 As 0.3953 0.3953 0.3953
4 As 0.6047 0.6047 0.6047

Summary:
Total energy = -26.77 eV/f.u.
SG = R-3m
M_tot = 2.95 μB/f.u.
Energy of formation = 0.492 eV per formula unit
ΔE to the lowest computed polymorph = 850 meV/atom
Volume = 29.884 A^3/atom